# V2O3 PBE with a Hubbard U optimized geometry
data_V2O3
_cell_length_a 7.089
_cell_length_b 8.143
_cell_length_c 7.448
_cell_angle_alpha 90.00
_cell_angle_beta 90.00
_cell_angle_gamma 90.00
_space_group_name_H-M_alt 'F d d 2'
_space_group_IT_number 43
_space_group_name_Hall 'F 2 -2d'
loop_
_atom_site_label
_atom_site_fract_x
_atom_site_fract_y
_atom_site_fract_z
V1 0.023 0.279 0.000
O1 0.000 0.000 0.340
O2 0.042 0.347 0.255
# uncorrected energy	-7.88	eV/atom
# magnetic moment	32.0	Bohr magnetons per cell